LiTc2Os after structural relaxation, computed with PBE.

Lattice parameters (Å, degrees): 2.820 4.498 9.205 90.00 90.00 90.00
Space group Cmm2 (No. 35)
Symmetry-distinct sites (fractional):
Li1 0.000 0.000 0.000 x2
Tc1 0.000 0.000 0.502 x2
Tc2 0.000 0.500 0.259 x2
Os1 0.000 0.500 0.750 x2

The value obtained for the formation energy is 0.306 eV/atom. The density is 11.2 g/cm³. The value obtained for the density of states at the Fermi level is 0.894 states/eV/atom. Its total magnetization is 0.0 μB/cell. As for the crystal system: orthorhombic.